Density functional theory data (PBE) for a relaxed structure of KSbPb.

Lattice parameters (Å, degrees): 5.682 5.682 3.532 90.00 90.00 120.00
Fractional positions:
K 0.000 0.000 0.000
Sb 0.333 0.667 0.500
Pb 0.667 0.333 0.500

Properties
- formation energy (no corrections) (eV/atom) = -0.202
- E_tot (eV for the cell shown) = -9.53

Density functional theory data (PBE) for a relaxed structure of KSbPb2.

Lattice parameters (Å, degrees): 9.742 9.742 9.742 25.85 25.85 25.85
Fractional positions:
K 0.000 0.000 0.000
Sb 0.500 0.500 0.500
Pb 0.231 0.231 0.231
Pb 0.769 0.769 0.769

Properties
- formation energy (no corrections) (eV/atom) = 0.015
- E_tot (eV for the cell shown) = -12.58

Density functional theory data (PBE) for a relaxed structure of K2SbPb.

Lattice parameters (Å, degrees): 4.170 4.170 9.998 90.00 90.00 90.00
Fractional positions:
K 0.000 0.000 0.000
K 0.500 0.500 0.404
Sb 0.500 0.500 0.770
Pb 0.000 0.000 0.641

Properties
- formation energy (no corrections) (eV/atom) = -0.160
- E_tot (eV for the cell shown) = -10.67
- ΔE to the lowest computed polymorph (meV/atom) = 142